This record from the Alexandria database describes a geometry-optimized TbPmNdPu structure. The functional is PBE.

POSCAR file:
```
TbPmNdPu
1.0
5.689 0.000 0.000
2.845 4.927 0.000
2.845 1.642 4.645
Nd Pu Pm Tb
1 1 1 1
Direct
0.250 0.250 0.250 Nd
0.000 0.000 0.000 Pu
0.750 0.750 0.750 Pm
0.500 0.500 0.500 Tb
```

Results
Uncorrected energy (Ha/atom): -0.2536
Spin magnetization (μB/cell): 7.51
E_form (eV per formula unit): 0.9